# 1
VASP calculation (PBE-GGA) on a relaxed Y2NiOs crystal.

```
Y2NiOs
1.0
1.757 1.014 7.936
-1.757 1.014 7.936
0.000 -2.029 7.936
Y Ni Os
2 1 1
direct
0.249 0.249 0.249
0.751 0.751 0.751
0.500 0.500 0.500
0.000 0.000 0.000
```

Calculated values
Spin magnetization ... 0.000 μB per atom
Formation energy ... 16.2 kJ/mol of atoms

---

# 2
VASP calculation (PBE-GGA) on a relaxed Li4ScSn crystal.

```
Li4ScSn
1.0
0.000 3.785 3.785
3.785 0.000 3.785
3.785 3.785 0.000
Li Sc Sn
4 1 1
direct
0.125 0.125 0.125
0.125 0.125 0.624
0.125 0.624 0.125
0.624 0.125 0.125
0.750 0.750 0.750
0.500 0.500 0.500
```

Calculated values
Spin magnetization ... 0.103 μB per atom
Formation energy ... -11.8 kJ/mol of atoms

---

# 3
VASP calculation (PBE-GGA) on a relaxed AcSn3Ge3 crystal.

```
AcSn3Ge3
1.0
7.604 0.000 0.000
0.000 7.604 0.000
0.000 0.000 7.604
Ac Sn Ge
2 6 6
direct
0.000 0.000 0.000
0.500 0.500 0.500
0.000 0.250 0.500
0.000 0.750 0.500
0.250 0.500 0.000
0.500 0.000 0.250
0.500 0.000 0.750
0.750 0.500 0.000
0.000 0.500 0.250
0.000 0.500 0.750
0.250 0.000 0.500
0.500 0.250 0.000
0.500 0.750 0.000
0.750 0.000 0.500
```

Calculated values
Spin magnetization ... 0.000 μB per atom
Formation energy ... 14.2 kJ/mol of atoms

---

# 4
VASP calculation (PBE-GGA) on a relaxed CaAlSeN2 crystal.

```
CaAlSeN2
1.0
3.945 0.000 0.000
0.000 3.945 0.000
0.000 0.000 5.238
Ca Al Se N
1 1 1 2
direct
0.000 0.000 0.000
0.500 0.500 0.500
0.500 0.500 0.000
0.000 0.500 0.500
0.500 0.000 0.500
```

Calculated values
Raw formation energy ... -0.43 eV/f.u.
Spin magnetization ... 0.497 μB per atom
Distance to the lowest polymorph of the same formula ... 0 kJ/mol of formula units

---

# 5
VASP calculation (PBE-GGA) on a relaxed Pm3CF crystal.

```
Pm3CF
1.0
3.640 2.102 3.036
-3.640 2.102 3.036
0.000 -4.203 3.036
Pm C F
3 1 1
direct
0.005 0.498 0.498
0.498 0.005 0.498
0.498 0.498 0.005
0.530 0.530 0.530
0.205 0.205 0.205
```

Calculated values
Raw formation energy ... -3.31 eV/f.u.
Spin magnetization ... 0.000 μB per atom

---

# 6
VASP calculation (PBE-GGA) on a relaxed SrFeCl crystal.

```
SrFeCl
1.0
4.670 0.000 0.000
-2.335 4.044 0.000
0.000 0.000 3.894
Sr Fe Cl
1 1 1
direct
0.000 0.000 0.000
0.333 0.667 0.504
0.667 0.333 0.429
```

Calculated values
Raw formation energy ... -0.11 eV/f.u.
Spin magnetization ... 1.000 μB per atom

---

| no. | raw total energy (eV per atom) |
| --- | --- |
| 1 | -7.32 |
| 2 | -3.12 |
| 3 | -4.13 |
| 4 | -5.26 |
| 5 | -5.73 |
| 6 | -4.03 |